# CrWF3, optimized geometry, DFT GGA+U
data_CrWF3
_space_group_name_H-M_alt 'P m -3 m'
_space_group_IT_number 221
_space_group_name_Hall '-P 4 2 3'
_cell_length_a 4.193
_cell_length_b 4.193
_cell_length_c 4.193
_cell_angle_alpha 90.00
_cell_angle_beta 90.00
_cell_angle_gamma 90.00
loop_
_atom_site_label
_atom_site_type_symbol
_atom_site_fract_x
_atom_site_fract_y
_atom_site_fract_z
Cr1 Cr 0.000 0.000 0.000
W1 W 0.500 0.500 0.500
F1 F 0.000 0.000 0.500
# Uncorrected energy: -5.191 eV/atom
# M_tot: 8.995 μB per formula unit
# Offset from the most stable computed form: 0.322 eV per atom
# Crystal system: cubic